1.
LiSn2Br | PBE | optimized geometry

Cell and atoms, written as POSCAR:
```
LiSn2Br
1.0
7.454 0.000 0.000
0.000 7.454 0.000
0.000 0.000 7.454
Li Sn Br
4 8 4
Direct
0.000 0.000 0.000 Li
0.000 0.500 0.500 Li
0.500 0.000 0.500 Li
0.500 0.500 0.000 Li
0.250 0.250 0.250 Sn
0.250 0.250 0.750 Sn
0.250 0.750 0.250 Sn
0.250 0.750 0.750 Sn
0.750 0.250 0.250 Sn
0.750 0.250 0.750 Sn
0.750 0.750 0.250 Sn
0.750 0.750 0.750 Sn
0.000 0.000 0.500 Br
0.000 0.500 0.000 Br
0.500 0.000 0.000 Br
0.500 0.500 0.500 Br
```

Output
**Symmetry**: Fm-3m
**Total magnetic moment**: 0.00 μB/cell
**Calculated volume**: 414.1 Å³/cell
**Distance to the lowest polymorph of the same formula**: 1.83 eV per formula unit
**VASP energy**: -2.81 eV/atom

=====

2.
LiSn6Br12 | PBE | optimized geometry

Cell and atoms, written as POSCAR:
```
LiSn6Br12
1.0
6.706 3.872 4.166
-6.706 3.872 4.166
0.000 -7.744 4.166
Li Sn Br
1 6 12
Direct
0.000 0.000 0.000 Li
0.125 0.586 0.278 Sn
0.278 0.125 0.586 Sn
0.414 0.722 0.875 Sn
0.586 0.278 0.125 Sn
0.722 0.875 0.414 Sn
0.875 0.414 0.722 Sn
0.037 0.690 0.928 Br
0.072 0.963 0.310 Br
0.178 0.414 0.549 Br
0.310 0.072 0.963 Br
0.414 0.549 0.178 Br
0.451 0.822 0.586 Br
0.549 0.178 0.414 Br
0.586 0.451 0.822 Br
0.690 0.928 0.037 Br
0.822 0.586 0.451 Br
0.928 0.037 0.690 Br
0.963 0.310 0.072 Br
```

Output
**Symmetry**: R-3
**Total magnetic moment**: 0.00 μB/cell
**Calculated volume**: 649.0 Å³/cell
**VASP energy**: -3.15 eV/atom

=====

3.
LiSn2Br | PBE | optimized geometry

Cell and atoms, written as POSCAR:
```
LiSn2Br
1.0
4.096 0.000 0.000
0.000 4.096 0.000
0.000 0.000 29.406
Li Sn Br
4 8 4
Direct
0.000 0.000 0.000 Li
0.000 0.500 0.250 Li
0.500 0.000 0.750 Li
0.500 0.500 0.500 Li
0.246 0.250 0.125 Sn
0.250 0.746 0.375 Sn
0.250 0.754 0.875 Sn
0.254 0.250 0.625 Sn
0.746 0.750 0.625 Sn
0.750 0.246 0.875 Sn
0.750 0.254 0.375 Sn
0.754 0.750 0.125 Sn
0.000 0.000 0.500 Br
0.000 0.500 0.750 Br
0.500 0.000 0.250 Br
0.500 0.500 0.000 Br
```

Output
**Symmetry**: I-42d
**Total magnetic moment**: 0.00 μB/cell
**Calculated volume**: 493.2 Å³/cell
**Distance to the lowest polymorph of the same formula**: 0.00 eV per formula unit
**VASP energy**: -3.27 eV/atom

=====

4.
Li2SnBr4 | PBE | optimized geometry

Cell and atoms, written as POSCAR:
```
Li2SnBr4
1.0
14.105 0.000 0.000
0.000 4.414 0.000
-1.734 0.000 6.976
Li Sn Br
4 2 8
Direct
0.178 0.000 0.088 Li
0.322 0.500 0.912 Li
0.678 0.500 0.088 Li
0.822 0.000 0.912 Li
0.000 0.500 0.500 Sn
0.500 0.000 0.500 Sn
0.122 0.000 0.395 Br
0.136 0.500 0.901 Br
0.364 0.000 0.099 Br
0.378 0.500 0.605 Br
0.622 0.500 0.395 Br
0.636 0.000 0.901 Br
0.864 0.500 0.099 Br
0.878 0.000 0.605 Br
```

Output
**Symmetry**: C2/m
**Total magnetic moment**: 0.00 μB/cell
**Calculated volume**: 434.3 Å³/cell
**Distance to the lowest polymorph of the same formula**: 0.00 eV per formula unit
**VASP energy**: -3.27 eV/atom

=====

5.
LiSnBr3 | PBE | optimized geometry

Cell and atoms, written as POSCAR:
```
LiSnBr3
1.0
5.055 0.000 0.000
0.000 5.055 0.000
0.000 0.000 5.055
Li Sn Br
1 1 3
Direct
0.000 0.000 0.000 Li
0.500 0.500 0.500 Sn
0.000 0.000 0.500 Br
0.000 0.500 0.000 Br
0.500 0.000 0.000 Br
```

Output
**Symmetry**: Pm-3m
**Total magnetic moment**: 0.00 μB/cell
**Calculated volume**: 129.1 Å³/cell
**VASP energy**: -2.95 eV/atom

=====

6.
Li2Sn5Br12 | PBE | optimized geometry

Cell and atoms, written as POSCAR:
```
Li2Sn5Br12
1.0
7.898 -4.226 0.000
7.898 4.226 0.000
-4.317 0.000 10.093
Li Sn Br
2 5 12
Direct
0.191 0.809 0.000 Li
0.809 0.191 0.000 Li
0.172 0.172 0.368 Sn
0.247 0.247 0.998 Sn
0.500 0.500 0.500 Sn
0.753 0.753 0.002 Sn
0.828 0.828 0.632 Sn
0.013 0.013 0.822 Br
0.070 0.578 0.871 Br
0.116 0.621 0.494 Br
0.379 0.884 0.506 Br
0.420 0.420 0.198 Br
0.422 0.930 0.129 Br
0.578 0.070 0.871 Br
0.580 0.580 0.802 Br
0.621 0.116 0.494 Br
0.884 0.379 0.506 Br
0.930 0.422 0.129 Br
0.987 0.987 0.178 Br
```

Output
**Symmetry**: C2/m
**Total magnetic moment**: 0.00 μB/cell
**Calculated volume**: 673.8 Å³/cell
**Distance to the lowest polymorph of the same formula**: 0.00 eV per formula unit
**VASP energy**: -3.20 eV/atom

=====

7.
LiSn2Br5 | PBE | optimized geometry

Cell and atoms, written as POSCAR:
```
LiSn2Br5
1.0
10.840 -4.510 0.000
10.840 4.510 0.000
-7.747 0.000 11.453
Li Sn Br
4 8 20
Direct
0.077 0.320 0.325 Li
0.320 0.077 0.825 Li
0.680 0.923 0.175 Li
0.923 0.680 0.675 Li
0.209 0.736 0.534 Sn
0.220 0.489 0.164 Sn
0.264 0.791 0.966 Sn
0.489 0.220 0.664 Sn
0.511 0.780 0.336 Sn
0.736 0.209 0.034 Sn
0.780 0.511 0.836 Sn
0.791 0.264 0.466 Sn
0.085 0.092 0.136 Br
0.092 0.085 0.636 Br
0.162 0.260 0.982 Br
0.185 0.450 0.332 Br
0.219 0.560 0.696 Br
0.260 0.162 0.482 Br
0.337 0.610 0.083 Br
0.390 0.663 0.417 Br
0.440 0.781 0.804 Br
0.450 0.185 0.832 Br
0.550 0.815 0.168 Br
0.560 0.219 0.196 Br
0.610 0.337 0.583 Br
0.663 0.390 0.917 Br
0.740 0.838 0.518 Br
0.781 0.440 0.304 Br
0.815 0.550 0.668 Br
0.838 0.740 0.018 Br
0.908 0.915 0.364 Br
0.915 0.908 0.864 Br
```

Output
**Symmetry**: C2/c
**Total magnetic moment**: 0.00 μB/cell
**Calculated volume**: 1120.0 Å³/cell
**Distance to the lowest polymorph of the same formula**: 0.00 eV per formula unit
**VASP energy**: -3.21 eV/atom

=====

8.
Li2SnBr6 | PBE | optimized geometry

Cell and atoms, written as POSCAR:
```
Li2SnBr6
1.0
8.048 -6.609 0.000
8.048 6.609 0.000
-3.861 0.000 6.885
Li Sn Br
4 2 12
Direct
0.202 0.298 0.037 Li
0.298 0.202 0.537 Li
0.702 0.798 0.463 Li
0.798 0.702 0.963 Li
0.250 0.750 0.250 Sn
0.750 0.250 0.750 Sn
0.042 0.767 0.964 Br
0.161 0.338 0.741 Br
0.233 0.958 0.536 Br
0.267 0.541 0.344 Br
0.338 0.161 0.241 Br
0.459 0.733 0.156 Br
0.541 0.267 0.844 Br
0.662 0.839 0.759 Br
0.733 0.459 0.656 Br
0.767 0.042 0.464 Br
0.839 0.662 0.259 Br
0.958 0.233 0.036 Br
```

Output
**Symmetry**: C2/c
**Total magnetic moment**: 0.29 μB/cell
**Calculated volume**: 732.4 Å³/cell
**Distance to the lowest polymorph of the same formula**: 0.58 eV per formula unit
**VASP energy**: -2.94 eV/atom

=====

9.
LiSn2Br5 | PBE | optimized geometry

Cell and atoms, written as POSCAR:
```
LiSn2Br5
1.0
2.966 -6.667 0.000
2.966 6.667 0.000
0.000 0.000 14.403
Li Sn Br
2 4 10
Direct
0.220 0.780 0.750 Li
0.780 0.220 0.250 Li
0.147 0.853 0.066 Sn
0.147 0.853 0.434 Sn
0.853 0.147 0.566 Sn
0.853 0.147 0.934 Sn
0.054 0.946 0.623 Br
0.054 0.946 0.877 Br
0.253 0.747 0.250 Br
0.334 0.666 0.590 Br
0.334 0.666 0.910 Br
0.666 0.334 0.090 Br
0.666 0.334 0.410 Br
0.747 0.253 0.750 Br
0.946 0.054 0.123 Br
0.946 0.054 0.377 Br
```

Output
**Symmetry**: Cmcm
**Total magnetic moment**: 0.00 μB/cell
**Calculated volume**: 569.6 Å³/cell
**Distance to the lowest polymorph of the same formula**: 0.06 eV per formula unit
**VASP energy**: -3.20 eV/atom

=====

10.
LiSn3Br8 | PBE | optimized geometry

Cell and atoms, written as POSCAR:
```
LiSn3Br8
1.0
7.177 -4.241 0.000
7.177 4.241 0.000
-4.801 0.000 6.980
Li Sn Br
1 3 8
Direct
0.000 0.000 0.000 Li
0.000 0.500 0.500 Sn
0.500 0.000 0.500 Sn
0.500 0.500 0.000 Sn
0.227 0.227 0.235 Br
0.255 0.734 0.225 Br
0.257 0.257 0.766 Br
0.266 0.745 0.775 Br
0.734 0.255 0.225 Br
0.743 0.743 0.234 Br
0.745 0.266 0.775 Br
0.773 0.773 0.765 Br
```

Output
**Symmetry**: C2/m
**Total magnetic moment**: 0.00 μB/cell
**Calculated volume**: 424.9 Å³/cell
**VASP energy**: -3.10 eV/atom

=====

11.
Li2Sn2Br | PBE | optimized geometry

Cell and atoms, written as POSCAR:
```
Li2Sn2Br
1.0
4.183 0.000 0.000
0.000 4.183 0.000
0.000 0.000 14.454
Li Sn Br
4 4 2
Direct
0.000 0.500 0.250 Li
0.000 0.500 0.750 Li
0.500 0.000 0.250 Li
0.500 0.000 0.750 Li
0.000 0.000 0.102 Sn
0.000 0.000 0.898 Sn
0.500 0.500 0.398 Sn
0.500 0.500 0.602 Sn
0.000 0.000 0.500 Br
0.500 0.500 0.000 Br
```

Output
**Symmetry**: I4/mmm
**Total magnetic moment**: 0.00 μB/cell
**Calculated volume**: 252.9 Å³/cell
**Distance to the lowest polymorph of the same formula**: 1.43 eV per formula unit
**VASP energy**: -2.71 eV/atom

=====

12.
Li2Sn2Br | PBE | optimized geometry

Cell and atoms, written as POSCAR:
```
Li2Sn2Br
1.0
8.395 0.000 0.000
0.000 8.395 0.000
0.000 0.000 3.459
Li Sn Br
4 4 2
Direct
0.186 0.314 0.000 Li
0.314 0.814 0.000 Li
0.686 0.186 0.000 Li
0.814 0.686 0.000 Li
0.121 0.621 0.500 Sn
0.379 0.121 0.500 Sn
0.621 0.879 0.500 Sn
0.879 0.379 0.500 Sn
0.000 0.000 0.500 Br
0.500 0.500 0.500 Br
```

Output
**Symmetry**: P4/mbm
**Total magnetic moment**: 0.00 μB/cell
**Calculated volume**: 243.8 Å³/cell
**Distance to the lowest polymorph of the same formula**: 0.00 eV per formula unit
**VASP energy**: -2.99 eV/atom